A plane-wave DFT calculation with GGA+U was carried out for a relaxed LiMg4V3O12 crystal.

Cell and atoms, written as POSCAR:
```
LiMg4V3O12
1.0
-3.478 3.478 9.574
3.478 -3.478 9.574
3.478 3.478 -9.574
Li Mg V O
2 8 6 24
Direct
0.000 0.000 0.000
0.750 0.250 0.500
0.025 0.525 0.500
0.133 0.625 0.008
0.275 0.275 0.000
0.375 0.383 0.508
0.475 0.975 0.500
0.617 0.125 0.992
0.725 0.725 0.000
0.875 0.867 0.492
0.025 0.125 0.400
0.250 0.750 0.500
0.375 0.975 0.100
0.500 0.500 0.000
0.725 0.625 0.600
0.875 0.275 0.900
0.060 0.373 0.231
0.123 0.310 0.731
0.142 0.829 0.769
0.171 0.940 0.313
0.243 0.585 0.237
0.335 0.493 0.737
0.345 0.067 0.300
0.349 0.006 0.763
0.401 0.665 0.157
0.405 0.205 0.222
0.415 0.651 0.657
0.507 0.244 0.843
0.579 0.392 0.269
0.608 0.877 0.187
0.627 0.858 0.687
0.690 0.421 0.813
0.756 0.599 0.263
0.767 0.045 0.700
0.795 0.017 0.200
0.817 0.595 0.800
0.933 0.233 0.278
0.955 0.655 0.722
0.983 0.183 0.778
0.994 0.757 0.343
```

Results
Total DFT energy (no corrections) (eV/atom): -6.81
M_tot (μB/cell): 0.00